A relaxed structure of ThURe. Source: Alexandria, functional PBE-GGA.

```
data_ThURe
_cell_length_a 3.5787
_cell_length_b 3.5787
_cell_length_c 6.4410
_cell_angle_alpha 90.00
_cell_angle_beta 90.00
_cell_angle_gamma 120.00
_space_group_name_H-M_alt 'P 3 m 1'
_space_group_IT_number 156
loop_
_space_group_symop_operation_xyz
'x,y,z'
'-y,x-y,z'
'-x+y,-x,z'
'-y,-x,z'
'-x+y,y,z'
'x,x-y,z'
loop_
_atom_site_label
_atom_site_fract_x
_atom_site_fract_y
_atom_site_fract_z
Th1 0.0000 0.0000 0.0000
U1 0.3333 0.6667 0.6022
Re1 0.6667 0.3333 0.3476
```

Output
DFT formation energy (kJ/mol of formula units): 135
Excess energy over the best structure of this formula in the dataset (meV per atom): 280



A relaxed structure of ThURe2. Source: Alexandria, functional PBE-GGA.

```
data_ThURe2
_cell_length_a 3.4110
_cell_length_b 3.4110
_cell_length_c 25.6722
_cell_angle_alpha 90.00
_cell_angle_beta 90.00
_cell_angle_gamma 120.00
_space_group_name_H-M_alt 'R -3 m'
_space_group_IT_number 166
_space_group_name_Hall '-R 3 2"'
loop_
_atom_site_label
_atom_site_fract_x
_atom_site_fract_y
_atom_site_fract_z
Th1 0.0000 0.0000 0.0000
U1 0.0000 0.0000 0.5000
Re1 0.0000 0.0000 0.2367
```

Output
DFT formation energy (kJ/mol of formula units): 191



A relaxed structure of ThVRe. Source: Alexandria, functional PBE-GGA.

```
data_ThVRe
_cell_length_a 4.1687
_cell_length_b 4.1687
_cell_length_c 4.4042
_cell_angle_alpha 90.00
_cell_angle_beta 90.00
_cell_angle_gamma 120.00
_space_group_name_H-M_alt 'P -6 m 2'
_space_group_IT_number 187
_space_group_name_Hall 'P -6 2'
loop_
_atom_site_label
_atom_site_fract_x
_atom_site_fract_y
_atom_site_fract_z
Th1 0.0000 0.0000 0.0000
V1 0.6667 0.3333 0.5000
Re1 0.3333 0.6667 0.5000
```

Output
DFT formation energy (kJ/mol of formula units): 64
Excess energy over the best structure of this formula in the dataset (meV per atom): 79



The calculation returns the following total magnetization values, one per record and in order: 0.00 0.00 0.00 μB per atom.